No. 1
# NpAlCuOs

A relaxed NpAlCuOs crystal (PBE, Alexandria).

Energy of formation, meV per atom: 85
SG: No. 216
Final energy, eV per atom: -7.917

Cell: 4.5764 4.5764 4.5764 Å, 60.00 60.00 60.00°
Last column: nearest neighbours and their distance in Å.
Atoms (fractional coordinates):
Np  0.0000  0.0000  0.0000  4 Os 2.80, 4 Cu 2.80
Al  0.5000  0.5000  0.5000  4 Cu 2.80, 4 Os 2.80
Os  0.7500  0.7500  0.7500  4 Np 2.80, 4 Al 2.80
Cu  0.2500  0.2500  0.2500  4 Al 2.80, 4 Np 2.80

No. 2
# NpAl4Cu2Pt

A relaxed NpAl4Cu2Pt crystal (PBE, Alexandria).

Energy of formation, meV per atom: -293
SG: No. 166
Final energy, eV per atom: -5.561

Cell: 4.2010 4.2010 9.1681 Å, 76.76 76.76 60.00°
Last column: nearest neighbours and their distance in Å.
Atoms (fractional coordinates):
Cu  0.7529  0.7529  0.7414  6 Al 2.47-2.68
Cu  0.2471  0.2471  0.2586  6 Al 2.47-2.68
Al  0.1287  0.1287  0.6138  3 Pt 2.63, 3 Cu 2.68, 3 Al 2.89
Al  0.8713  0.8713  0.3862  3 Pt 2.63, 3 Cu 2.68, 3 Al 2.89
Al  0.4029  0.4029  0.7913  3 Cu 2.47, 1 Pt 2.58
Al  0.5971  0.5971  0.2087  3 Cu 2.47, 1 Pt 2.58
Np  0.0000  0.0000  0.0000  6 Al 3.05, 6 Cu 3.33
Pt  0.5000  0.5000  0.5000  8 Al 2.58-2.63

No. 3
# NpAl2CuPt4

A relaxed NpAl2CuPt4 crystal (PBE, Alexandria).

Energy of formation, meV per atom: -701
SG: No. 166
Final energy, eV per atom: -6.787

Cell: 4.2526 4.2526 8.9237 Å, 76.22 76.22 60.00°
Last column: nearest neighbours and their distance in Å.
Atoms (fractional coordinates):
Pt  0.1309  0.1309  0.6074  4 Al 2.60-2.71, 3 Cu 2.62
Pt  0.3985  0.3985  0.8046  3 Al 2.59, 1 Cu 2.61
Pt  0.6015  0.6015  0.1954  3 Al 2.59, 1 Cu 2.61
Pt  0.8691  0.8691  0.3926  4 Al 2.60-2.71, 3 Cu 2.62
Al  0.2360  0.2360  0.2920  7 Pt 2.59-2.71
Al  0.7640  0.7640  0.7080  7 Pt 2.59-2.71
Cu  0.5000  0.5000  0.5000  8 Pt 2.61-2.62
Np  0.0000  0.0000  0.0000  6 Pt 2.97

No. 4
# NpAl3ZnCu

A relaxed NpAl3ZnCu crystal (PBE, Alexandria).

Energy of formation, meV per atom: 123
SG: No. 63
Final energy, eV per atom: -4.800

Cell: 5.7769 5.9454 7.0509 Å, 114.94 90.00 90.00°
Last column: nearest neighbours and their distance in Å.
Atoms (fractional coordinates):
Al  0.0000  0.2846  0.0000  2 Cu 2.48, 1 Al 2.56, 2 Zn 2.77
Al  0.7500  0.8657  0.7314  1 Zn 2.69, 3 Cu 2.81-2.96, 4 Al 2.81
Al  0.2500  0.1343  0.2686  1 Zn 2.69, 3 Cu 2.81-2.96, 4 Al 2.81
Al  0.0000  0.7154  0.0000  2 Cu 2.48, 1 Al 2.56, 2 Zn 2.77
Al  0.5000  0.2846  0.0000  2 Cu 2.48, 1 Al 2.56, 2 Zn 2.77
Al  0.5000  0.7154  0.0000  2 Cu 2.48, 1 Al 2.56, 2 Zn 2.77
Zn  0.2500  0.3444  0.6889  5 Al 2.69-2.77, 2 Np 2.95
Zn  0.7500  0.6556  0.3111  5 Al 2.69-2.77, 2 Np 2.95
Cu  0.2500  0.9146  0.8292  4 Al 2.48, 1 Np 2.72
Cu  0.7500  0.0854  0.1708  4 Al 2.48, 1 Np 2.72
Np  0.2500  0.7016  0.4031  1 Cu 2.72, 2 Zn 2.95
Np  0.7500  0.2984  0.5969  1 Cu 2.72, 2 Zn 2.95

No. 5
# AlCu3O6

A relaxed AlCu3O6 crystal (PBE, Alexandria).

E_form (uncorrected), kJ/mol of atoms: -84.8
SG: No. 12
Polymorph energy (0 for the lowest one), meV/atom: 55.8
Final energy, eV per atom: -5.457

Cell: 5.7418 5.7418 10.5823 Å, 36.98 36.98 33.39°
Last column: nearest neighbours and their distance in Å.
Atoms (fractional coordinates):
O  0.8149  0.8149  0.2183  3 Cu 1.90-2.09, 1 Al 1.91
O  0.1851  0.1851  0.7817  3 Cu 1.90-2.09, 1 Al 1.91
O  0.4549  0.4549  0.8525  3 Cu 1.79-1.99
O  0.9907  0.9907  0.3996  1 Cu 1.83, 2 Al 2.01
O  0.0093  0.0093  0.6004  1 Cu 1.83, 2 Al 2.01
O  0.5451  0.5451  0.1475  3 Cu 1.79-1.99
Cu  0.9467  0.9467  0.2670  4 O 1.79-1.90
Cu  0.0533  0.0533  0.7330  4 O 1.79-1.90
Cu  0.5000  0.5000  0.0000  6 O 1.99-2.09
Al  0.5000  0.5000  0.5000  6 O 1.91-2.01

No. 6
# AlCuO3

A relaxed AlCuO3 crystal (PBE, Alexandria).

E_form (uncorrected), kJ/mol of atoms: -107.1
SG: No. 221
Final energy, eV per atom: -5.653

Cell: 3.6268 3.6268 3.6268 Å, 90.00 90.00 90.00°
Last column: nearest neighbours and their distance in Å.
Atoms (fractional coordinates):
Al  0.0000  0.0000  0.0000  6 O 1.81
O  0.5000  0.0000  0.0000  2 Al 1.81
O  0.0000  0.0000  0.5000  2 Al 1.81
O  0.0000  0.5000  0.0000  2 Al 1.81
Cu  0.5000  0.5000  0.5000  12 O 2.56

No. 7
# Al2CuO

A relaxed Al2CuO crystal (PBE, Alexandria).

E_form (uncorrected), kJ/mol of atoms: -75.8
SG: No. 122
Final energy, eV per atom: -4.920

Cell: 5.6216 5.6216 5.2711 Å, 57.78 57.78 90.00°
Last column: nearest neighbours and their distance in Å.
Atoms (fractional coordinates):
Al  0.1924  0.6250  0.2500  2 O 1.94
Al  0.8750  0.8076  0.7500  2 O 1.94
Al  0.3750  0.4424  0.7500  2 O 1.94
Al  0.5576  0.1250  0.2500  2 O 1.94
O  0.5000  0.5000  0.0000  4 Al 1.94
O  0.2500  0.7500  0.5000  4 Al 1.94
Cu  0.0000  0.0000  0.0000  4 Al 2.43
Cu  0.7500  0.2500  0.5000  4 Al 2.43

No. 8
# AlCu2O4

A relaxed AlCu2O4 crystal (PBE, Alexandria).

E_form (uncorrected), kJ/mol of atoms: -117.6
SG: No. 88
Polymorph energy (0 for the lowest one), meV/atom: 39.2
Final energy, eV per atom: -5.757

Cell: 6.1352 6.1352 6.1352 Å, 129.73 129.73 73.84°
Last column: nearest neighbours and their distance in Å.
Atoms (fractional coordinates):
Cu  0.3750  0.1250  0.7500  4 O 1.88-1.93
Cu  0.3750  0.6250  0.7500  4 O 1.88-1.93
Cu  0.8750  0.6250  0.2500  4 O 1.88-1.93
Cu  0.3750  0.6250  0.2500  4 O 1.88-1.93
O  0.6075  0.5976  0.6263  2 Cu 1.88-1.93, 1 Al 1.90
O  0.4024  0.0287  0.0099  2 Cu 1.88-1.93, 1 Al 1.90
O  0.0188  0.3925  0.9901  2 Cu 1.88-1.93, 1 Al 1.90
O  0.7787  0.2688  0.1263  2 Cu 1.88-1.93, 1 Al 1.90
O  0.3476  0.2213  0.4901  2 Cu 1.88-1.93, 1 Al 1.90
O  0.9713  0.9812  0.3737  2 Cu 1.88-1.93, 1 Al 1.90
O  0.7312  0.8575  0.5099  2 Cu 1.88-1.93, 1 Al 1.90
O  0.1425  0.6524  0.8737  2 Cu 1.88-1.93, 1 Al 1.90
Al  0.0000  0.0000  0.0000  4 O 1.90
Al  0.7500  0.2500  0.5000  4 O 1.90

No. 9
# AlCu3O6

A relaxed AlCu3O6 crystal (PBE, Alexandria).

E_form (uncorrected), kJ/mol of atoms: -90.2
SG: No. 4
Polymorph energy (0 for the lowest one), meV/atom: 0.0
Final energy, eV per atom: -5.513

Cell: 11.8700 2.9258 5.9365 Å, 88.99 90.00 90.00°
Last column: nearest neighbours and their distance in Å.
Atoms (fractional coordinates):
O  0.1833  0.8710  0.6515  2 Cu 1.85-1.86
O  0.6619  0.3464  0.8562  2 Cu 1.91, 1 Al 1.94
O  0.3466  0.2796  0.9579  1 Al 1.93, 3 Cu 1.97-2.06
O  0.8466  0.7204  0.0421  1 Al 1.93, 3 Cu 1.97-2.06
O  0.0086  0.2095  0.3520  2 Al 1.89, 1 Cu 1.91
O  0.5189  0.7780  0.0726  2 Cu 1.90-2.05, 2 Al 1.99-2.00
O  0.0189  0.2220  0.9274  2 Cu 1.90-2.05, 2 Al 1.99-2.00
O  0.5086  0.7905  0.6480  2 Al 1.89, 1 Cu 1.91
O  0.6833  0.1290  0.3485  2 Cu 1.85-1.86
O  0.3275  0.2695  0.3825  3 Cu 1.90-1.92
O  0.8275  0.7305  0.6175  3 Cu 1.90-1.92
O  0.1619  0.6536  0.1438  2 Cu 1.91, 1 Al 1.94
Cu  0.3550  0.7754  0.1817  5 O 1.91-2.05
Cu  0.8550  0.2246  0.8183  5 O 1.91-2.05
Cu  0.6772  0.7219  0.1147  4 O 1.85-2.06
Cu  0.1772  0.2781  0.8853  4 O 1.85-2.06
Cu  0.1674  0.2576  0.4019  4 O 1.86-1.91
Cu  0.6674  0.7424  0.5981  4 O 1.86-1.91
Al  0.9996  0.7157  0.1518  6 O 1.89-2.00
Al  0.4996  0.2843  0.8482  6 O 1.89-2.00

No. 10
# Al3CuO

A relaxed Al3CuO crystal (PBE, Alexandria).

E_form (uncorrected), kJ/mol of atoms: 22.2
SG: No. 221
Final energy, eV per atom: -3.827

Cell: 4.4307 4.4307 4.4307 Å, 90.00 90.00 90.00°
Last column: nearest neighbours and their distance in Å.
Atoms (fractional coordinates):
Cu  0.0000  0.0000  0.0000  6 Al 2.22
Al  0.0000  0.0000  0.5000  2 Cu 2.22
Al  0.5000  0.0000  0.0000  2 Cu 2.22
Al  0.0000  0.5000  0.0000  2 Cu 2.22
O  0.5000  0.5000  0.5000  12 Al 3.13

No. 11
# AlCuO3

A relaxed AlCuO3 crystal (PBE, Alexandria).

E_form (uncorrected), kJ/mol of atoms: -40.4
SG: No. 221
Final energy, eV per atom: -4.961

Cell: 3.6598 3.6598 3.6598 Å, 90.00 90.00 90.00°
Last column: nearest neighbours and their distance in Å.
Atoms (fractional coordinates):
O  0.0000  0.5000  0.0000  2 Cu 1.83
O  0.5000  0.0000  0.0000  2 Cu 1.83
O  0.0000  0.0000  0.5000  2 Cu 1.83
Al  0.5000  0.5000  0.5000  12 O 2.59
Cu  0.0000  0.0000  0.0000  6 O 1.83

No. 12
# AlCuO3

A relaxed AlCuO3 crystal (PBE, Alexandria).

E_form (uncorrected), kJ/mol of atoms: -122.9
SG: No. 227
Final energy, eV per atom: -5.816

Cell: 6.6353 6.6353 6.6353 Å, 60.00 60.00 60.00°
Last column: nearest neighbours and their distance in Å.
Atoms (fractional coordinates):
O  0.4716  0.4716  0.0284  2 Al 1.89
O  0.4716  0.0284  0.0284  2 Al 1.89
O  0.2216  0.7784  0.7784  2 Al 1.89
O  0.7784  0.2216  0.2216  2 Al 1.89
O  0.0284  0.4716  0.4716  2 Al 1.89
O  0.2216  0.7784  0.2216  2 Al 1.89
O  0.0284  0.4716  0.0284  2 Al 1.89
O  0.7784  0.2216  0.7784  2 Al 1.89
O  0.0284  0.0284  0.4716  2 Al 1.89
O  0.4716  0.0284  0.4716  2 Al 1.89
O  0.2216  0.2216  0.7784  2 Al 1.89
O  0.7784  0.7784  0.2216  2 Al 1.89
Al  0.1250  0.6250  0.1250  6 O 1.89
Al  0.1250  0.1250  0.1250  6 O 1.89
Al  0.1250  0.1250  0.6250  6 O 1.89
Al  0.6250  0.1250  0.1250  6 O 1.89
Cu  0.6250  0.1250  0.6250  6 O 2.20
Cu  0.1250  0.6250  0.6250  6 O 2.20
Cu  0.6250  0.6250  0.6250  6 O 2.20
Cu  0.6250  0.6250  0.1250  6 O 2.20